{"formula": "Mo2PAu", "functional": "PBE-GGA", "state": "relaxed", "ef_ev_per_atom": 0.226, "m_tot_mub_per_cell": 0.00, "dft_energy_ev_per_atom": -7.3614, "lattice_angstrom": [[-0.450, 2.357, -1.375], [-1.681, -1.924, -1.061], [-6.472, 2.307, 6.073]], "species": ["Mo", "Mo", "P", "Au"], "frac_coords": [[0.000, 0.000, 0.980], [0.500, 0.500, 0.744], [0.000, 0.000, 0.539], [0.500, 0.500, 0.237]]}

{"formula": "Cd3In5", "functional": "PBE-GGA", "state": "relaxed", "ef_ev_per_atom": 0.022, "m_tot_mub_per_cell": 0.00, "e_above_lowest_polymorph_mev_per_atom": 2.9, "dft_energy_ev_per_atom": -2.0331, "lattice_angstrom": [[-0.143, -0.552, 6.533], [4.274, -4.964, -0.309], [3.612, 3.089, 0.340]], "species": ["Cd", "Cd", "Cd", "In", "In", "In", "In", "In"], "frac_coords": [[0.500, 0.500, 0.000], [0.750, 0.250, 0.500], [0.250, 0.750, 0.500], [0.000, 0.000, 0.000], [0.000, 0.500, 0.000], [0.500, 0.000, 0.000], [0.257, 0.257, 0.500], [0.743, 0.743, 0.500]]}

{"formula": "BaPmS", "functional": "PBE-GGA", "state": "relaxed", "m_tot_mub_per_cell": 0.87, "formation_energy_uncorrected_ev_per_atom": -1.069, "dft_energy_ev_per_atom": -4.6694, "lattice_angstrom": [[-3.624, -1.082, 1.499], [3.114, -2.616, 0.119], [3.943, 5.304, 13.366]], "species": ["Pm", "Pm", "S", "S", "Ba", "Ba"], "frac_coords": [[0.667, 0.333, 0.601], [0.333, 0.667, 0.399], [0.667, 0.333, 0.283], [0.333, 0.667, 0.717], [0.667, 0.333, 0.861], [0.333, 0.667, 0.139]]}